First-principles (PBE+U) data for a relaxed Li2MnFeB2O6 crystal, as listed in the Alexandria database.

Unit cell a=3.1532 b=8.2304 c=14.2203 alpha=89.46 beta=90.00 gamma=90.00
Each line ends with the local moment (μB).
Atoms (fractional coordinates):
Li: 0.5000 0.7169 0.9875  0.00
Li: 0.5000 0.6552 0.3600  0.00
Li: 0.5000 0.6246 0.6492  0.00
Li: 0.5000 0.2107 0.4916  0.00
Li: 0.5000 0.1556 0.8595  0.00
Li: 0.5000 0.1306 0.1484  0.00
Mn: 0.0000 0.8648 0.5061  -4.63
Mn: 0.0000 0.8089 0.1803  4.61
Mn: 0.0000 0.3685 0.0067  4.61
Fe: 0.0000 0.8203 0.8031  1.93
Fe: 0.0000 0.3222 0.3112  3.74
Fe: 0.0000 0.3029 0.6833  3.75
B: 0.5000 0.9960 0.6696  0.00
B: 0.0000 0.0014 0.9968  0.01
B: 0.5000 0.0017 0.3341  0.00
B: 0.5000 0.4994 0.1684  0.02
B: 0.0000 0.4971 0.4999  0.00
B: 0.5000 0.5061 0.8342  0.01
O: 0.5000 0.9924 0.4313  -0.04
O: 0.5000 0.9777 0.7679  -0.03
O: 0.5000 0.8597 0.6134  -0.02
O: 0.5000 0.8608 0.2810  0.03
O: 0.0000 0.8503 0.9556  0.03
O: 0.5000 0.6527 0.1262  0.03
O: 0.5000 0.6600 0.7912  -0.02
O: 0.0000 0.6371 0.4438  -0.02
O: 0.0000 0.5110 0.5975  0.02
O: 0.5000 0.4943 0.9308  0.04
O: 0.5000 0.4831 0.2660  0.04
O: 0.5000 0.3616 0.1126  0.03
O: 0.5000 0.3678 0.7791  0.04
O: 0.0000 0.3448 0.4582  0.02
O: 0.5000 0.1514 0.6296  0.03
O: 0.5000 0.1523 0.2890  0.04
O: 0.0000 0.1432 0.9419  0.02
O: 0.0000 0.0169 0.0950  0.03

Energy relative to the lowest polymorph listed for this composition, eV/atom: 0.048
Symmetry: Pm, No. 6
Final energy, eV/atom: -7.07